This record from Alexandria describes crystalline KCd2Ni at its relaxed geometry. The functional is PBE.

Cell: 3.6211 3.6211 8.0802 Å, 90.00 90.00 90.00°
Closest atoms and distances in Å follow each position.
Positions (direct):
K  0.0000  0.0000  0.0000  1 Cd 3.30, 4 K 3.62
Cd  0.0000  0.0000  0.4086  4 Ni 2.62
Cd  0.5000  0.5000  0.6676  1 Ni 2.63
Ni  0.5000  0.5000  0.3426  5 Cd 2.62-2.63

Calculated values
- Spin magnetization: 0.0 Bohr magnetons per cell
- DFT formation energy: 191 meV per atom
- Symmetry: P4mm, No. 99
- ΔE to the lowest computed polymorph: 89.1 meV per atom
- Electronic total energy: -1.986 eV per atom